CdCoTc2: relaxed, GGA-PBE.

Computed properties:
Formation energy, meV/atom: 350
SG: R-3m (166)
DOS(E_F), states/eV per cell: 4.3

Cell lengths 9.2240, 9.2240, 9.2240 Å; angles 17.13, 17.13, 17.13 degrees
Closest atoms and distances in Å follow each position.
Fractional positions:
Cd1 0.2500 0.2500 0.2500  6 Cd 2.75, 6 Tc 2.99
Co1 0.7500 0.7500 0.7500  6 Tc 2.56, 6 Co 2.75
Tc1 0.0096 0.0096 0.0096  3 Co 2.56, 6 Tc 2.75
Tc2 0.4904 0.4904 0.4904  3 Co 2.56, 6 Tc 2.75


LiMg3Tl3: relaxed, GGA-PBE.

Computed properties:
Formation energy, meV/atom: 397
SG: Pm-3n (223)
DOS(E_F), states/eV per cell: 11.6

Cell lengths 8.0573, 8.0573, 8.0573 Å; angles 90.00, 90.00, 90.00 degrees
Closest atoms and distances in Å follow each position.
Fractional positions:
Tl1 0.2500 0.0000 0.5000  4 Mg 2.85
Tl2 0.0000 0.5000 0.2500  4 Mg 2.85
Tl3 0.5000 0.7500 0.0000  4 Mg 2.85
Tl4 0.7500 0.0000 0.5000  4 Mg 2.85
Tl5 0.0000 0.5000 0.7500  4 Mg 2.85
Tl6 0.5000 0.2500 0.0000  4 Mg 2.85
Mg1 0.0000 0.2500 0.5000  4 Tl 2.85
Mg2 0.0000 0.7500 0.5000  4 Tl 2.85
Mg3 0.5000 0.0000 0.7500  4 Tl 2.85
Mg4 0.7500 0.5000 0.0000  4 Tl 2.85
Mg5 0.5000 0.0000 0.2500  4 Tl 2.85
Mg6 0.2500 0.5000 0.0000  4 Tl 2.85
Li1 0.5000 0.5000 0.5000  12 Tl 4.50, 12 Mg 4.50
Li2 0.0000 0.0000 0.0000  12 Tl 4.50, 12 Mg 4.50


Rb2Mg3In12Ag: relaxed, GGA-PBE.

Computed properties:
Formation energy, meV/atom: 32
SG: R-3m (166)
DOS(E_F), states/eV per cell: 9.5

Cell lengths 12.0269, 12.0269, 12.0269 Å; angles 36.58, 36.58, 36.58 degrees
Closest atoms and distances in Å follow each position.
Fractional positions:
Rb1 0.6503 0.6503 0.6503  12 In 3.79-4.17
Rb2 0.3497 0.3497 0.3497  12 In 3.79-4.17
Mg1 0.5000 0.0000 0.0000  4 In 2.95
Mg2 0.0000 0.5000 0.0000  4 In 2.95
Mg3 0.0000 0.0000 0.5000  4 In 2.95
In1 0.4156 0.4156 0.8197  2 Mg 2.95, 4 In 3.02-3.05
In2 0.9264 0.9264 0.3516  1 Ag 2.95, 4 In 3.02-3.21
In3 0.3516 0.9264 0.9264  1 Ag 2.95, 4 In 3.02-3.21
In4 0.8197 0.4156 0.4156  2 Mg 2.95, 4 In 3.02-3.05
In5 0.9264 0.3516 0.9264  1 Ag 2.95, 4 In 3.02-3.21
In6 0.4156 0.8197 0.4156  2 Mg 2.95, 4 In 3.02-3.05
In7 0.5844 0.5844 0.1803  2 Mg 2.95, 4 In 3.02-3.05
In8 0.0736 0.0736 0.6484  1 Ag 2.95, 4 In 3.02-3.21
In9 0.6484 0.0736 0.0736  1 Ag 2.95, 4 In 3.02-3.21
In10 0.1803 0.5844 0.5844  2 Mg 2.95, 4 In 3.02-3.05
In11 0.0736 0.6484 0.0736  1 Ag 2.95, 4 In 3.02-3.21
In12 0.5844 0.1803 0.5844  2 Mg 2.95, 4 In 3.02-3.05
Ag1 0.0000 0.0000 0.0000  6 In 2.95


CoIr2Pt: relaxed, GGA-PBE.

Computed properties:
Formation energy, meV/atom: 376
SG: Fm-3m (225)
DOS(E_F), states/eV per cell: 6.6

Cell lengths 4.3393, 4.3393, 4.3393 Å; angles 60.00, 60.00, 60.00 degrees
Closest atoms and distances in Å follow each position.
Fractional positions:
Ir1 0.2500 0.2500 0.2500  4 Pt 2.66, 4 Co 2.66
Ir2 0.7500 0.7500 0.7500  4 Co 2.66, 4 Pt 2.66
Co1 0.0000 0.0000 0.0000  8 Ir 2.66
Pt1 0.5000 0.5000 0.5000  8 Ir 2.66


Si2IN: relaxed, GGA-PBE.

Computed properties:
Energy relative to the elements, uncorrected, meV per atom: 602
SG: I-42d (122)
DOS(E_F), states/eV per cell: 5.4

Cell lengths 4.9019, 4.9019, 7.1096 Å; angles 69.83, 69.83, 90.00 degrees
Closest atoms and distances in Å follow each position.
Fractional positions:
I1 0.0000 0.0000 0.0000  8 Si 3.11-3.19, 4 N 3.47
I2 0.7500 0.2500 0.5000  8 Si 3.11-3.19, 4 N 3.47
Si1 0.3852 0.1250 0.2500  2 N 1.98
Si2 0.3648 0.6250 0.2500  2 N 1.98
Si3 0.3750 0.6148 0.7500  2 N 1.98
Si4 0.8750 0.6352 0.7500  2 N 1.98
N1 0.5000 0.5000 0.0000  4 Si 1.98
N2 0.2500 0.7500 0.5000  4 Si 1.98


Ac8Ga2Pb: relaxed, GGA-PBE.

Computed properties:
Formation energy, meV/atom: -216
SG: C2/m (12)
DOS(E_F), states/eV per cell: 12.8

Cell lengths 5.3600, 8.3159, 10.3466 Å; angles 108.94, 105.01, 90.00 degrees
Closest atoms and distances in Å follow each position.
Fractional positions:
Ac1 0.4039 0.5286 0.8078  2 Ga 3.44, 1 Pb 3.74, 3 Ac 3.80-3.85
Ac2 0.6724 0.9621 0.3448  3 Ga 3.23-3.57, 1 Pb 3.56
Ac3 0.8034 0.6920 0.6069  3 Ga 3.27-3.52
Ac4 0.9648 0.2358 0.9297  1 Ga 3.32, 2 Pb 3.53
Ac5 0.1966 0.3080 0.3931  3 Ga 3.27-3.52
Ac6 0.3276 0.0379 0.6552  3 Ga 3.23-3.57, 1 Pb 3.56
Ac7 0.5961 0.4714 0.1922  2 Ga 3.44, 1 Pb 3.74, 3 Ac 3.80-3.85
Ac8 0.0352 0.7642 0.0703  1 Ga 3.32, 2 Pb 3.53
Ga1 0.8105 0.3042 0.6210  9 Ac 3.23-3.57
Ga2 0.1895 0.6958 0.3790  9 Ac 3.23-3.57
Pb1 0.5000 0.0000 0.0000  8 Ac 3.53-3.74


Record-wise electronic total energy values, in eV per atom: -6.84, -1.57, -2.33, -7.34, -4.58, -4.09
Record-wise magnetization values, in μB/f.u.: 0.8, 0.0, 0.0, 3.0, 0.0, 0.0